# 1
The following is a PBEsol calculation of an optimized crystal structure of AlOsRh2, from the Alexandria database.

The structure in CIF format:
```
data_AlOsRh2
_symmetry_space_group_name_H-M 'P 1'
_symmetry_Int_Tables_number 1
_symmetry_space_group_name_Hall 'P 1'
_cell_length_a 2.722
_cell_length_b 4.620
_cell_length_c 4.637
_cell_angle_alpha 101.35
_cell_angle_beta 107.07
_cell_angle_gamma 90.00
loop_
_atom_site_label
_atom_site_type_symbol
_atom_site_fract_x
_atom_site_fract_y
_atom_site_fract_z
Rh1 Rh 0.244 0.729 0.488
Rh2 Rh 0.004 0.023 0.008
Os1 Os 0.753 0.226 0.505
Al1 Al 0.500 0.522 0.999
```

The value obtained for the formation energy is -0.314 eV/atom. The space group is Cm, No. 8. The energy comes out at -33.84 eV per formula unit.



# 2
The following is a PBEsol calculation of an optimized crystal structure of AlOsRh, from the Alexandria database.

The structure in CIF format:
```
data_AlOsRh
_symmetry_space_group_name_H-M 'P 1'
_symmetry_Int_Tables_number 1
_symmetry_space_group_name_Hall 'P 1'
_cell_length_a 2.738
_cell_length_b 2.738
_cell_length_c 6.318
_cell_angle_alpha 90.00
_cell_angle_beta 90.00
_cell_angle_gamma 120.00
loop_
_atom_site_label
_atom_site_type_symbol
_atom_site_fract_x
_atom_site_fract_y
_atom_site_fract_z
Al1 Al 0.000 0.000 0.005
Os1 Os 0.333 0.667 0.669
Rh1 Rh 0.667 0.333 0.326
```

The value obtained for the formation energy is -0.277 eV/atom. The space group is P3m1, No. 156. The energy comes out at -25.28 eV per formula unit.



| no. | calculated volume (Å³/atom) |
| --- | --- |
| 1 | 13.635 |
| 2 | 13.670 |